A relaxed PrSm2Dy crystal. Source: Alexandria, functional GGA-PBE.

The energy of formation is 0.147 eV/atom.

It has space group Fm-3m (No. 225), with a = 8.1693 Å, b = 8.1693 Å, c = 8.1693 Å, α = 90.00°, β = 90.00° and γ = 90.00°. The asymmetric unit holds Pr at (0.0000, 0.0000, 0.0000), Sm at (0.2500, 0.2500, 0.2500) and Dy at (0.0000, 0.0000, 0.5000).